## CdFeP2S (GGA-PBEsol)

Data for a geometry-optimized CdFeP2S structure.

- Electronic total energy: -3.66 eV per atom
- Magnetization: 3.348 μB/f.u.

Cell lengths 4.8236, 4.8236, 4.8525 Å; angles 90.00, 90.00, 90.00 degrees
With the nearest neighbours (Å) after each atom.
Space group P4/mmm (No. 123)
Asymmetric unit:
Cd (0.0000, 0.0000, 0.0000) x1  4 P 2.41, 2 S 2.43
Fe (0.5000, 0.5000, 0.5000) x1  4 S 3.41, 8 P 3.42
P (0.0000, 0.5000, 0.0000) x2  2 Cd 2.41
S (0.0000, 0.0000, 0.5000) x1  2 Cd 2.43